First-principles (PBE+U) data for CrSi2HO6 after structural relaxation, as listed in the Alexandria database.

Values from the calculation:
E: -7.254 eV per atom
N(E_F): 0.000 states/eV per cell
total magnetization: 0.30 μB/atom

a = 9.7337 Å, b = 8.8539 Å, c = 5.0433 Å
α = 90.00°, β = 114.17°, γ = 90.00°
Last column: nearest neighbours and their distance in Å.
Space group C2/c (No. 15)
Inequivalent atoms, fractional coordinates:
Cr (0.0000, 0.0996, 0.2500)  4 O 1.95-2.12
Si (0.1834, 0.4143, 0.1888)  4 O 1.63-1.66
H (0.0000, 0.2614, 0.7500)  2 O 1.32
O (0.0893, 0.2612, 0.0293)  1 H 1.32
O (0.1305, 0.0684, 0.6601)  1 Si 1.66
O (0.1360, 0.4458, 0.4593)  2 Si 1.63